[1]
Compound: Co3Re
Source: the Alexandria database
Functional: GGA-PBEsol
Structure: relaxed

Cell and atoms, written as POSCAR:
```
Co3Re
1.0
3.530 0.000 0.000
0.000 3.530 0.000
0.000 0.000 3.530
Co Re
3 1
direct
0.000 0.000 0.500
0.000 0.500 0.000
0.500 0.000 0.000
0.500 0.500 0.500
```

Values from the calculation:
Theoretical density, Mg/m³: 13.702
Formation enthalpy at 0 K, kJ/mol of formula units: 19
Calculated volume, Å³/cell: 44.0
DOS at the Fermi energy, states/eV per cell: 5.5

[2]
Compound: CoRe5
Source: the Alexandria database
Functional: GGA-PBEsol
Structure: relaxed

Cell and atoms, written as POSCAR:
```
CoRe5
1.0
4.714 0.000 0.000
-2.357 4.083 0.000
0.000 0.000 4.328
Co Re
1 5
direct
0.000 0.000 0.000
0.000 0.326 0.500
0.326 0.000 0.500
0.333 0.667 0.000
0.667 0.333 0.000
0.674 0.674 0.500
```

Values from the calculation:
Theoretical density, Mg/m³: 19.735
Offset from the most stable computed form, eV/atom: 0.0000
Formation enthalpy at 0 K, kJ/mol of formula units: -9
Calculated volume, Å³/cell: 83.3
DOS at the Fermi energy, states/eV per cell: 5.2

[3]
Compound: CoReRh
Source: the Alexandria database
Functional: GGA-PBEsol
Structure: relaxed

Cell and atoms, written as POSCAR:
```
CoReRh
1.0
-1.319 1.831 3.933
1.319 -1.831 3.933
1.319 1.831 -3.933
Co Re Rh
1 1 1
direct
0.000 0.000 0.000
0.657 0.657 0.000
0.330 0.330 0.000
```

Values from the calculation:
Theoretical density, Mg/m³: 15.222
Offset from the most stable computed form, eV/atom: 0.0000
Formation enthalpy at 0 K, kJ/mol of formula units: -16
Calculated volume, Å³/cell: 38.0
DOS at the Fermi energy, states/eV per cell: 3.7

[4]
Compound: CoReRh2
Source: the Alexandria database
Functional: GGA-PBEsol
Structure: relaxed

Cell and atoms, written as POSCAR:
```
CoReRh2
1.0
1.333 0.770 8.534
-1.333 0.770 8.534
0.000 -1.539 8.534
Co Re Rh
1 1 2
direct
0.000 0.000 0.000
0.500 0.500 0.500
0.252 0.252 0.252
0.748 0.748 0.748
```

Values from the calculation:
Theoretical density, Mg/m³: 14.258
Formation enthalpy at 0 K, kJ/mol of formula units: 12
Calculated volume, Å³/cell: 52.5
DOS at the Fermi energy, states/eV per cell: 4.8

[5]
Compound: CoReRh
Source: the Alexandria database
Functional: GGA-PBEsol
Structure: relaxed

Cell and atoms, written as POSCAR:
```
CoReRh
1.0
0.000 2.833 2.833
2.833 0.000 2.833
2.833 2.833 0.000
Co Re Rh
1 1 1
direct
0.000 0.000 0.000
0.750 0.750 0.750
0.500 0.500 0.500
```

Values from the calculation:
Theoretical density, Mg/m³: 12.706
Offset from the most stable computed form, eV/atom: 0.6662
Formation enthalpy at 0 K, kJ/mol of formula units: 177
Calculated volume, Å³/cell: 45.5
DOS at the Fermi energy, states/eV per cell: 2.8

[6]
Compound: CoReRh3
Source: the Alexandria database
Functional: GGA-PBEsol
Structure: relaxed

Cell and atoms, written as POSCAR:
```
CoReRh3
1.0
4.290 0.000 0.000
0.000 4.290 0.000
0.000 0.000 4.290
Co Re Rh
1 1 3
direct
0.000 0.000 0.000
0.500 0.500 0.500
0.000 0.000 0.500
0.000 0.500 0.000
0.500 0.000 0.000
```

Values from the calculation:
Theoretical density, Mg/m³: 11.652
Formation enthalpy at 0 K, kJ/mol of formula units: 769
Calculated volume, Å³/cell: 78.9
DOS at the Fermi energy, states/eV per cell: 9.2